[1]
DFT (PBE-GGA) results for a relaxed SrYZr2Pb crystal.

Cell lengths 5.3188, 5.3188, 5.9825 Å; angles 90.00, 90.00, 90.00 degrees
Space group P4/mmm (No. 123)
One atom of each set of equivalent atoms:
Sr1 0.0000 0.0000 0.0000 (multiplicity 1)
Y1 0.0000 0.0000 0.5000 (multiplicity 1)
Zr1 0.0000 0.5000 0.5000 (multiplicity 2)
Pb1 0.5000 0.5000 0.0000 (multiplicity 1)

- energy of formation (eV/atom) = 1.103
- D(E_F) (states/eV per atom) = 1.308

***

[2]
DFT (PBE-GGA) results for a relaxed La4Mg crystal.

Cell lengths 11.6773, 11.6773, 11.6773 Å; angles 90.00, 90.00, 90.00 degrees
Space group Fd-3m (No. 227, origin choice 2)
One atom of each set of equivalent atoms:
La1 0.0223 0.0223 0.2277 (multiplicity 32)
Mg1 0.1250 0.1250 0.6250 (multiplicity 8)

- energy of formation (eV/atom) = 0.525
- D(E_F) (states/eV per atom) = 1.807
- distance to the lowest polymorph of the same formula (meV/atom) = 557.8

***

[3]
DFT (PBE-GGA) results for a relaxed HoLuMgAl crystal.

Cell lengths 7.2593, 7.2593, 7.2593 Å; angles 90.00, 90.00, 90.00 degrees
Space group F-43m (No. 216)
One atom of each set of equivalent atoms:
Ho1 0.0000 0.0000 0.0000 (multiplicity 4)
Lu1 0.0000 0.0000 0.5000 (multiplicity 4)
Mg1 0.2500 0.2500 0.2500 (multiplicity 4)
Al1 0.2500 0.2500 0.7500 (multiplicity 4)

- energy of formation (eV/atom) = -0.255
- D(E_F) (states/eV per atom) = 0.570

***

[4]
DFT (PBE-GGA) results for a relaxed Li2Cd2InPb crystal.

Cell lengths 7.0824, 5.6704, 7.3635 Å; angles 90.00, 105.62, 90.00 degrees
Space group P2_1/m (No. 11)
One atom of each set of equivalent atoms:
Li1 0.0334 0.2500 0.1623 (multiplicity 2)
Li2 0.3790 0.7500 0.9344 (multiplicity 2)
Cd1 0.4030 0.5016 0.2839 (multiplicity 4)
In1 0.1606 0.7500 0.5296 (multiplicity 2)
Pb1 0.2064 0.2500 0.8268 (multiplicity 2)

- energy of formation (eV/atom) = -0.085
- D(E_F) (states/eV per atom) = 0.293

***

[5]
DFT (PBE-GGA) results for a relaxed RbZn2B2O6 crystal.

Cell lengths 5.1416, 5.2292, 7.1744 Å; angles 68.64, 70.51, 89.54 degrees
Space group P-1 (No. 2)
One atom of each set of equivalent atoms:
Rb1 0.0000 0.0000 0.0000 (multiplicity 1)
Zn1 0.1455 0.7321 0.5380 (multiplicity 2)
B1 0.3937 0.3578 0.2974 (multiplicity 2)
O1 0.2325 0.1254 0.3244 (multiplicity 2)
O2 0.2333 0.5694 0.3157 (multiplicity 2)
O3 0.3285 0.6226 0.7441 (multiplicity 2)

- D(E_F) (states/eV per atom) = 0.462
- E_form (uncorrected) (eV/atom) = -1.818

***

[6]
DFT (PBE-GGA) results for a relaxed Ba2MnTeC crystal.

Cell lengths 6.0378, 6.0378, 3.9598 Å; angles 90.00, 90.00, 90.00 degrees
Space group P4/mmm (No. 123)
One atom of each set of equivalent atoms:
Ba1 0.0000 0.5000 0.0000 (multiplicity 2)
Mn1 0.0000 0.0000 0.5000 (multiplicity 1)
Te1 0.5000 0.5000 0.5000 (multiplicity 1)
C1 0.0000 0.0000 0.0000 (multiplicity 1)

- D(E_F) (states/eV per atom) = 0.466
- E_form (uncorrected) (eV/atom) = -0.326